1.
KBPCl2: optimized geometry, PBE.

Values from the calculation:
- ΔE to the lowest computed polymorph (meV/atom) = 0
- space-group type = P4/mmm, No. 123
- N(E_F) (states/eV/atom) = 0.81
- total magnetization (μB/f.u.) = 0.39
- formation energy (no corrections) (kJ/mol of atoms) = -14.5

Cell: 5.572 5.572 3.563 Å, 90.00 90.00 90.00°
Fractional positions:
K1 0.000 0.000 0.000
B1 0.500 0.500 0.500
P1 0.500 0.500 0.000
Cl1 0.000 0.500 0.500
Cl2 0.500 0.000 0.500



2.
KBPCl2: optimized geometry, PBE.

Values from the calculation:
- ΔE to the lowest computed polymorph (meV/atom) = 1345
- space-group type = P4/mmm, No. 123
- N(E_F) (states/eV/atom) = 0.29
- total magnetization (μB/f.u.) = 3.05
- formation energy (no corrections) (kJ/mol of atoms) = 115.2

Cell: 5.828 5.828 6.020 Å, 90.00 90.00 90.00°
Fractional positions:
K1 0.000 0.000 0.000
B1 0.500 0.500 0.500
P1 0.000 0.000 0.500
Cl1 0.000 0.500 0.000
Cl2 0.500 0.000 0.000



3.
KBS2Cl: optimized geometry, PBE.

Values from the calculation:
- ΔE to the lowest computed polymorph (meV/atom) = 1631
- space-group type = P4/mmm, No. 123
- N(E_F) (states/eV/atom) = 1.13
- total magnetization (μB/f.u.) = 3.00
- formation energy (no corrections) (kJ/mol of atoms) = 146.6

Cell: 5.915 5.915 5.740 Å, 90.00 90.00 90.00°
Fractional positions:
K1 0.000 0.000 0.000
B1 0.500 0.500 0.500
S1 0.000 0.500 0.000
S2 0.500 0.000 0.000
Cl1 0.000 0.000 0.500



4.
KBS2Cl: optimized geometry, PBE.

Values from the calculation:
- ΔE to the lowest computed polymorph (meV/atom) = 0
- space-group type = P4/mmm, No. 123
- N(E_F) (states/eV/atom) = 0.60
- total magnetization (μB/f.u.) = 0.30
- formation energy (no corrections) (kJ/mol of atoms) = -10.8

Cell: 4.081 4.081 7.014 Å, 90.00 90.00 90.00°
Fractional positions:
K1 0.000 0.000 0.000
B1 0.500 0.500 0.500
S1 0.000 0.500 0.500
S2 0.500 0.000 0.500
Cl1 0.500 0.500 0.000



5.
KSi2BCl: optimized geometry, PBE.

Values from the calculation:
- space-group type = P4/mmm, No. 123
- N(E_F) (states/eV/atom) = 1.15
- total magnetization (μB/f.u.) = 1.41
- formation energy (no corrections) (kJ/mol of atoms) = 209.6

Cell: 5.825 5.825 5.402 Å, 90.00 90.00 90.00°
Fractional positions:
K1 0.000 0.000 0.000
Si1 0.000 0.500 0.000
Si2 0.500 0.000 0.000
B1 0.500 0.500 0.500
Cl1 0.000 0.000 0.500



6.
KSnB2Cl: optimized geometry, PBE.

Values from the calculation:
- space-group type = P4/mmm, No. 123
- N(E_F) (states/eV/atom) = 0.54
- total magnetization (μB/f.u.) = 0.00
- formation energy (no corrections) (kJ/mol of atoms) = 151.5

Cell: 4.826 4.826 5.301 Å, 90.00 90.00 90.00°
Fractional positions:
K1 0.000 0.000 0.000
Sn1 0.500 0.500 0.000
B1 0.000 0.500 0.500
B2 0.500 0.000 0.500
Cl1 0.000 0.000 0.500



7.
K2TiBCl: optimized geometry, PBE.

Values from the calculation:
- space-group type = P4/mmm, No. 123
- N(E_F) (states/eV/atom) = 0.85
- total magnetization (μB/f.u.) = 1.08
- formation energy (no corrections) (kJ/mol of atoms) = 42.3

Cell: 6.526 6.526 3.999 Å, 90.00 90.00 90.00°
Fractional positions:
K1 0.000 0.500 0.000
K2 0.500 0.000 0.000
Ti1 0.000 0.000 0.000
B1 0.000 0.000 0.500
Cl1 0.500 0.500 0.500



8.
La4B2Cl5: optimized geometry, PBE.

Values from the calculation:
- space-group type = Immm, No. 71
- N(E_F) (states/eV/atom) = 0.35
- total magnetization (μB/f.u.) = 0.00
- formation energy (no corrections) (kJ/mol of atoms) = -151.1

Cell: 10.178 10.178 10.178 Å, 156.66 133.65 52.52°
Fractional positions:
La1 0.177 0.177 0.000
La2 0.214 0.500 0.714
La3 0.786 0.500 0.286
La4 0.823 0.823 0.000
B1 0.044 0.044 0.000
B2 0.956 0.956 0.000
Cl1 0.088 0.330 0.758
Cl2 0.429 0.670 0.758
Cl3 0.500 0.000 0.500
Cl4 0.571 0.330 0.242
Cl5 0.912 0.670 0.242



9.
LaB2Cl8: optimized geometry, PBE.

Values from the calculation:
- space-group type = C2/m, No. 12
- N(E_F) (states/eV/atom) = 0.40
- total magnetization (μB/f.u.) = 1.13
- formation energy (no corrections) (kJ/mol of atoms) = -112.6

Cell: 7.950 7.950 6.090 Å, 99.09 99.09 73.98°
Fractional positions:
La1 0.000 0.000 0.000
B1 0.203 0.203 0.664
B2 0.797 0.797 0.336
Cl1 0.031 0.715 0.261
Cl2 0.195 0.195 0.346
Cl3 0.285 0.969 0.739
Cl4 0.341 0.341 0.804
Cl5 0.659 0.659 0.196
Cl6 0.715 0.031 0.261
Cl7 0.805 0.805 0.654
Cl8 0.969 0.285 0.739



10.
LaBCl2: optimized geometry, PBE.

Values from the calculation:
- ΔE to the lowest computed polymorph (meV/atom) = 0
- space-group type = I-42d, No. 122
- N(E_F) (states/eV/atom) = 0.62
- total magnetization (μB/f.u.) = 0.00
- formation energy (no corrections) (kJ/mol of atoms) = -35.4

Cell: 9.920 9.920 9.920 Å, 153.96 153.96 37.16°
Fractional positions:
La1 0.000 0.000 0.000
La2 0.750 0.250 0.500
B1 0.250 0.750 0.500
B2 0.500 0.500 0.000
Cl1 0.131 0.625 0.006
Cl2 0.375 0.381 0.506
Cl3 0.619 0.125 0.994
Cl4 0.875 0.869 0.494



11.
LaB2Cl: optimized geometry, PBE.

Values from the calculation:
- ΔE to the lowest computed polymorph (meV/atom) = 65
- space-group type = I-42d, No. 122
- N(E_F) (states/eV/atom) = 0.60
- total magnetization (μB/f.u.) = 0.00
- formation energy (no corrections) (kJ/mol of atoms) = 104.7

Cell: 5.681 5.681 5.681 Å, 109.72 109.72 108.97°
Fractional positions:
La1 0.000 0.000 0.000
La2 0.750 0.250 0.500
B1 0.204 0.625 0.079
B2 0.375 0.454 0.579
B3 0.546 0.125 0.921
B4 0.875 0.796 0.421
Cl1 0.250 0.750 0.500
Cl2 0.500 0.500 0.000



12.
LaBCl2: optimized geometry, PBE.

Values from the calculation:
- ΔE to the lowest computed polymorph (meV/atom) = 220
- space-group type = R-3m, No. 166
- N(E_F) (states/eV/atom) = 0.79
- total magnetization (μB/f.u.) = 0.50
- formation energy (no corrections) (kJ/mol of atoms) = -14.2

Cell: 9.458 9.458 9.458 Å, 22.85 22.85 22.85°
Fractional positions:
La1 0.000 0.000 0.000
B1 0.500 0.500 0.500
Cl1 0.404 0.404 0.404
Cl2 0.596 0.596 0.596